Entry from the Alexandria database: a relaxed NaNb2PdPb crystal (PBE).

Cell: 5.4046 5.4046 5.1512 Å, 90.00 90.00 90.00°
Closest atoms and distances in Å follow each position.
Space group P4/mmm (No. 123)
One atom of each set of equivalent atoms:
Na1 0.0000 0.0000 0.0000  8 Nb 3.73, 4 Pd 3.82
Nb1 0.0000 0.5000 0.5000  2 Pb 2.70
Pd1 0.5000 0.5000 0.0000  2 Pb 2.58
Pb1 0.5000 0.5000 0.5000  2 Pd 2.58, 4 Nb 2.70

Values from the calculation:
Its volume is 30.09 A^3/atom. The calculation puts the formation enthalpy at 0 K at 1.52 eV per atom. As for the density of states at the Fermi level: 1.2903 states/eV per atom.

=====

Entry from the Alexandria database: a relaxed Ce2FeCo9 crystal (PBE).

Cell: 4.7823 4.7823 24.8611 Å, 90.00 90.00 120.00°
Closest atoms and distances in Å follow each position.
Space group R-3m (No. 166, hexagonal axes)
One atom of each set of equivalent atoms:
Ce1 0.0000 0.0000 0.1371  9 Co 2.80-2.86, 3 Ce 3.13
Fe1 0.0000 0.0000 0.0000  18 Co 2.76-3.09
Co1 0.0000 0.0000 0.3333  6 Co 2.39
Co2 0.0000 0.0000 0.5000  6 Co 2.59, 6 Ce 2.86
Co3 0.0011 0.5005 0.0784  7 Co 2.38-2.59

Values from the calculation:
Its volume is 13.68 A^3/atom. The calculation puts the formation enthalpy at 0 K at 0.02 eV per atom. As for the density of states at the Fermi level: 1.2349 states/eV per atom.

=====

Entry from the Alexandria database: a relaxed NiWSe2Br crystal (PBE).

Cell: 4.8545 4.8545 5.3882 Å, 90.00 90.00 90.00°
Closest atoms and distances in Å follow each position.
Space group P4/mmm (No. 123)
One atom of each set of equivalent atoms:
Ni1 0.0000 0.0000 0.0000  4 Br 3.43, 8 Se 3.63
W1 0.5000 0.5000 0.5000  4 Se 2.43, 2 Br 2.69
Se1 0.0000 0.5000 0.5000  2 W 2.43
Br1 0.5000 0.5000 0.0000  2 W 2.69

Values from the calculation:
Its offset from the most stable computed form is 0 meV/atom. Its volume is 25.40 A^3/atom. The uncorrected formation energy comes out at 0.795 eV per atom. As for the density of states at the Fermi level: 2.1208 states/eV per atom.

=====

Entry from the Alexandria database: a relaxed TlSb2Pt crystal (PBE).

Cell: 7.2695 4.1939 7.8558 Å, 90.00 108.31 90.00°
Closest atoms and distances in Å follow each position.
Space group Cm (No. 8)
One atom of each set of equivalent atoms:
Tl1 0.0000 0.0000 0.0000  6 Sb 3.40-3.57, 1 Pt 3.61
Sb1 0.0505 0.5000 0.6500  3 Pt 2.72
Sb2 0.2728 0.5000 0.3218  3 Pt 2.71
Pt1 0.1611 0.0000 0.4846  6 Sb 2.71-2.72

Values from the calculation:
Its offset from the most stable computed form is 0 meV/atom. Its volume is 28.42 A^3/atom. The uncorrected formation energy comes out at -0.282 eV per atom. As for the density of states at the Fermi level: 0.2688 states/eV per atom.

=====

Entry from the Alexandria database: a relaxed Cr2OsPb crystal (PBE).

Cell: 2.8931 3.8798 5.7452 Å, 90.00 90.00 90.00°
Closest atoms and distances in Å follow each position.
Space group Pmmm (No. 47)
One atom of each set of equivalent atoms:
Cr1 0.0000 0.0000 0.1832  1 Cr 2.11
Os1 0.5000 0.5000 0.0000  8 Cr 2.64, 2 Pb 2.87, 2 Os 2.89
Pb1 0.5000 0.5000 0.5000  2 Os 2.87, 2 Pb 2.89, 8 Cr 3.03

Values from the calculation:
Its volume is 16.12 A^3/atom. The calculation puts the formation enthalpy at 0 K at 0.59 eV per atom. As for the density of states at the Fermi level: 1.2955 states/eV per atom.

=====

Entry from the Alexandria database: a relaxed Li2BiPd3 crystal (PBE).

Cell: 4.5149 13.6268 6.3574 Å, 90.00 90.08 90.00°
Closest atoms and distances in Å follow each position.
Space group C2/m (No. 12)
One atom of each set of equivalent atoms:
Li1 0.0000 0.0000 0.0000  8 Pd 2.64-2.65
Li2 0.0000 0.0000 0.5000  8 Pd 2.80-2.89, 4 Bi 3.09
Li3 0.0000 0.3282 0.0000  8 Pd 2.69-2.72
Bi1 0.0000 0.3448 0.5000  8 Pd 2.77-3.03, 2 Li 3.09
Pd1 0.9997 0.1617 0.2295  5 Li 2.64-2.80, 2 Bi 2.84, 1 Pd 2.92
Pd2 0.0013 0.5000 0.2175  6 Li 2.64-2.89, 1 Pd 2.77, 2 Bi 2.77

Values from the calculation:
Its offset from the most stable computed form is 48 meV/atom. Its volume is 16.30 A^3/atom. The calculation puts the formation enthalpy at 0 K at -0.39 eV per atom. As for the density of states at the Fermi level: 0.4919 states/eV per atom.

=====

Entry from the Alexandria database: a relaxed PrErIn crystal (PBE).

Cell: 3.5781 4.5546 10.7375 Å, 90.00 90.00 90.00°
Closest atoms and distances in Å follow each position.
Space group Imm2 (No. 44)
One atom of each set of equivalent atoms:
Pr1 0.0000 0.0000 0.0000  5 Er 3.29-3.56, 5 In 3.40-3.58, 2 Pr 3.58
Er1 0.0000 0.0000 0.6932  4 In 3.26, 5 Pr 3.29-3.56, 2 Er 3.58
In1 0.0000 0.0000 0.3332  4 Er 3.26, 5 Pr 3.40-3.58, 2 In 3.58

Values from the calculation:
Its offset from the most stable computed form is 69 meV/atom. Its volume is 29.16 A^3/atom. The calculation puts the formation enthalpy at 0 K at -0.27 eV per atom. As for the density of states at the Fermi level: 1.1846 states/eV per atom.

=====

Entry from the Alexandria database: a relaxed CeDyCo crystal (PBE).

Cell: 9.1657 5.2729 6.6185 Å, 90.00 117.35 90.00°
Closest atoms and distances in Å follow each position.
Space group C2/m (No. 12)
One atom of each set of equivalent atoms:
Ce1 0.1153 0.0000 0.3454  1 Co 2.20
Dy1 0.1138 0.5000 0.8412  1 Co 2.58
Co1 0.2396 0.0000 0.7194  1 Ce 2.20

Values from the calculation:
Its offset from the most stable computed form is 68 meV/atom. Its volume is 23.68 A^3/atom. The calculation puts the formation enthalpy at 0 K at -0.11 eV per atom. As for the density of states at the Fermi level: 1.7308 states/eV per atom.

=====

Entry from the Alexandria database: a relaxed LiHfZrRe crystal (PBE).

Cell: 6.6001 6.6001 6.6001 Å, 90.00 90.00 90.00°
Closest atoms and distances in Å follow each position.
Space group F-43m (No. 216)
One atom of each set of equivalent atoms:
Li1 0.0000 0.0000 0.0000  4 Hf 2.86, 4 Zr 2.86
Hf1 0.2500 0.2500 0.7500  4 Li 2.86, 4 Re 2.86
Zr1 0.2500 0.2500 0.2500  4 Li 2.86, 4 Re 2.86
Re1 0.0000 0.0000 0.5000  4 Zr 2.86, 4 Hf 2.86

Values from the calculation:
Its volume is 17.97 A^3/atom. The calculation puts the formation enthalpy at 0 K at -0.17 eV per atom. As for the density of states at the Fermi level: 0.8267 states/eV per atom.

=====

Entry from the Alexandria database: a relaxed TlCuSe2 crystal (PBE).

Cell: 5.4539 5.4539 3.0047 Å, 90.00 90.00 90.00°
Closest atoms and distances in Å follow each position.
Space group P4/mmm (No. 123)
One atom of each set of equivalent atoms:
Tl1 0.0000 0.0000 0.0000  2 Tl 3.00, 8 Se 3.11
Cu1 0.5000 0.5000 0.0000  2 Cu 3.00, 8 Se 3.11
Se1 0.0000 0.5000 0.5000  2 Se 3.00, 4 Tl 3.11, 4 Cu 3.11

Values from the calculation:
Its volume is 22.34 A^3/atom. The uncorrected formation energy comes out at 0.307 eV per atom. As for the density of states at the Fermi level: 0.8206 states/eV per atom.

=====

Entry from the Alexandria database: a relaxed CsVS3 crystal (PBE).

Cell: 3.9224 7.6187 9.9004 Å, 90.00 90.00 90.00°
Closest atoms and distances in Å follow each position.
Space group Amm2 (No. 38)
One atom of each set of equivalent atoms:
Cs1 0.0000 0.0000 0.0000  10 S 3.69-3.81, 2 Cs 3.92
V1 0.5000 0.0000 0.3897  4 S 2.09-2.28
S1 0.0000 0.0000 0.5074  2 V 2.28
S2 0.5000 0.2221 0.2658  1 V 2.09

Values from the calculation:
Its offset from the most stable computed form is 68 meV/atom. Its volume is 29.59 A^3/atom. The uncorrected formation energy comes out at -0.917 eV per atom.

=====

Entry from the Alexandria database: a relaxed RbNaTmCl5 crystal (PBE).

Cell: 8.8926 12.7789 10.1501 Å, 90.00 111.27 90.00°
Closest atoms and distances in Å follow each position.
Space group C2/c (No. 15)
One atom of each set of equivalent atoms:
Rb1 0.0000 0.1642 0.2500  7 Cl 3.40-3.67
Na1 0.0000 0.1872 0.7500  4 Cl 2.67-2.68
Tm1 0.0000 0.5000 0.0000  6 Cl 2.59-2.65
Cl1 0.0000 0.4393 0.2500  2 Tm 2.65
Cl2 0.0949 0.3100 0.5820  1 Tm 2.61, 1 Na 2.67
Cl3 0.1994 0.0518 0.9328  1 Tm 2.59, 1 Na 2.68

Values from the calculation:
Its volume is 33.59 A^3/atom. The uncorrected formation energy comes out at -2.098 eV per atom. As for the density of states at the Fermi level: 0.0000 states/eV per atom.

=====

What did the third record say?
Entry from the Alexandria database: a relaxed NiWSe2Br crystal (PBE).

Cell: 4.8545 4.8545 5.3882 Å, 90.00 90.00 90.00°
Closest atoms and distances in Å follow each position.
Space group P4/mmm (No. 123)
One atom of each set of equivalent atoms:
Ni1 0.0000 0.0000 0.0000  4 Br 3.43, 8 Se 3.63
W1 0.5000 0.5000 0.5000  4 Se 2.43, 2 Br 2.69
Se1 0.0000 0.5000 0.5000  2 W 2.43
Br1 0.5000 0.5000 0.0000  2 W 2.69

Values from the calculation:
Its offset from the most stable computed form is 0 meV/atom. Its volume is 25.40 A^3/atom. The uncorrected formation energy comes out at 0.795 eV per atom. As for the density of states at the Fermi level: 2.1208 states/eV per atom.

=====

Please write out number 12 again, unchanged.
Entry from the Alexandria database: a relaxed RbNaTmCl5 crystal (PBE).

Cell: 8.8926 12.7789 10.1501 Å, 90.00 111.27 90.00°
Closest atoms and distances in Å follow each position.
Space group C2/c (No. 15)
One atom of each set of equivalent atoms:
Rb1 0.0000 0.1642 0.2500  7 Cl 3.40-3.67
Na1 0.0000 0.1872 0.7500  4 Cl 2.67-2.68
Tm1 0.0000 0.5000 0.0000  6 Cl 2.59-2.65
Cl1 0.0000 0.4393 0.2500  2 Tm 2.65
Cl2 0.0949 0.3100 0.5820  1 Tm 2.61, 1 Na 2.67
Cl3 0.1994 0.0518 0.9328  1 Tm 2.59, 1 Na 2.68

Values from the calculation:
Its volume is 33.59 A^3/atom. The uncorrected formation energy comes out at -2.098 eV per atom. As for the density of states at the Fermi level: 0.0000 states/eV per atom.